Entry 1:
K3Ce3ScS8: optimized geometry, PBE.

Geometry as POSCAR:
```
K3Ce3ScS8
1.0
8.172 0.000 0.000
-4.086 7.079 -0.026
0.000 -4.690 7.466
Sc S Ce K
1 8 3 3
direct
0.000 0.000 0.500
0.222 0.969 0.691
0.222 0.443 0.691
0.778 0.557 0.309
0.252 0.031 0.309
0.778 0.031 0.309
0.748 0.969 0.691
0.265 0.529 0.294
0.735 0.471 0.706
0.000 0.500 0.500
0.500 0.500 0.500
0.500 0.000 0.500
0.000 0.000 0.000
0.000 0.500 0.000
0.500 0.500 0.000
```

Results
Formation energy without anion corrections = -1.80 eV/atom
DOS at the Fermi energy = 13.4 states/eV per cell



Entry 2:
GaGe2S4: optimized geometry, PBE.

Geometry as POSCAR:
```
GaGe2S4
1.0
-0.949 1.103 -6.115
-0.208 -5.769 2.489
-4.824 2.936 2.761
Ge S Ga
2 4 1
direct
0.250 0.750 0.500
0.750 0.250 0.500
0.330 0.149 0.480
0.149 0.670 0.819
0.851 0.330 0.181
0.670 0.851 0.520
0.500 0.500 0.000
```

Results
Formation energy without anion corrections = -0.16 eV/atom
DOS at the Fermi energy = 3.6 states/eV per cell



Entry 3:
LiIn2Pt: optimized geometry, PBE.

Geometry as POSCAR:
```
LiIn2Pt
1.0
5.182 0.005 -0.027
1.877 4.831 0.027
-3.512 -2.443 2.925
Li In Pt
1 2 1
direct
0.500 0.500 0.000
0.250 0.750 0.500
0.000 0.000 0.000
0.750 0.250 0.500
```

Results
Energy above the most stable polymorph in this dataset = 121.8 meV/atom
Energy of formation from the pure elements = -1.5 eV/f.u.
DOS at the Fermi energy = 1.4 states/eV per cell



Entry 4:
Nd3Er3Tl5: optimized geometry, PBE.

Geometry as POSCAR:
```
Nd3Er3Tl5
1.0
-1.571 4.802 -2.556
-2.361 -4.816 -7.596
-6.281 1.506 6.689
Nd Tl Er
3 5 3
direct
0.000 0.571 0.000
0.000 0.429 0.429
0.000 0.000 0.571
0.500 0.696 0.000
0.500 0.333 0.667
0.500 0.667 0.333
0.500 0.304 0.304
0.500 0.000 0.696
0.500 0.326 0.000
0.500 0.674 0.674
0.500 0.000 0.326
```

Results
Energy of formation from the pure elements = 3.1 eV/f.u.
DOS at the Fermi energy = 10.7 states/eV per cell



no.,magnetic moment (μB/f.u.)
1,2.015
2,0.000
3,0.000
4,0.000